First-principles (GGA-PBEsol) data for a relaxed structure of V2O5, as listed in Alexandria via LeMat-Bulk.

**Mass density**: 4.27 g/cm³
**Formation energy from raw total energies**: -51.73 kcal/mol of atoms

Cell: 6.375 6.375 5.291 Å, 102.76 102.76 42.67°
Sites, in units of the cell vectors:
V 0.097 0.620 0.755
V 0.380 0.903 0.745
V 0.620 0.097 0.255
V 0.903 0.380 0.245
O 0.114 0.886 0.750
O 0.135 0.273 0.631
O 0.273 0.135 0.131
O 0.332 0.447 0.017
O 0.447 0.332 0.517
O 0.553 0.668 0.483
O 0.668 0.553 0.983
O 0.727 0.865 0.869
O 0.865 0.727 0.369
O 0.886 0.114 0.250

=====

First-principles (GGA-PBEsol) data for a relaxed structure of CeIn5Ir, as listed in Alexandria via LeMat-Bulk.

**Mass density**: 9.47 g/cm³
**Formation enthalpy at 0 K**: -2.8 eV/f.u.

Cell: 4.640 4.640 7.383 Å, 90.00 90.00 90.00°
Sites, in units of the cell vectors:
Ce 0.000 0.000 0.000
In 0.000 0.500 0.301
In 0.000 0.500 0.699
In 0.500 0.000 0.301
In 0.500 0.000 0.699
In 0.500 0.500 0.000
Ir 0.000 0.000 0.500

=====

- What is the mass density in the second record?
  9.47 g/cm³